i:
CaSiTe2 | SCAN | PBEsol geometry

## Properties
Magnetization = 0.00 Bohr magnetons per cell
Symmetry = F-43m, No. 216

Cell and atoms, written as POSCAR:
```
CaSiTe2
1.0
0.0000 3.7316 3.7316
3.7316 0.0000 3.7316
3.7316 3.7316 0.0000
Ca Si Te
1 1 2
direct
0.0000 0.0000 0.0000 Ca
0.7500 0.7500 0.7500 Si
0.2500 0.2500 0.2500 Te
0.5000 0.5000 0.5000 Te
```

---

ii:
CaSiTe2 | SCAN | PBEsol geometry

## Properties
Magnetization = 0.00 Bohr magnetons per cell
Symmetry = I-42d, No. 122

Cell and atoms, written as POSCAR:
```
CaSiTe2
1.0
-3.2065 3.2065 7.2601
3.2065 -3.2065 7.2601
3.2065 3.2065 -7.2601
Ca Si Te
2 2 4
direct
0.0000 0.0000 0.0000 Ca
0.7500 0.2500 0.5000 Ca
0.2500 0.7500 0.5000 Si
0.5000 0.5000 0.0000 Si
0.1667 0.6250 0.0417 Te
0.3750 0.4167 0.5417 Te
0.5833 0.1250 0.9583 Te
0.8750 0.8333 0.4583 Te
```

---

Question: which arrangement is favored energetically? Ranking from most to least stable: ii, i.

---

i:
CaSi2Te | SCAN | PBEsol geometry

## Properties
Magnetization = 0.00 Bohr magnetons per cell
Symmetry = Fm-3m, No. 225

Cell and atoms, written as POSCAR:
```
CaSi2Te
1.0
0.0000 3.5435 3.5435
3.5435 0.0000 3.5435
3.5435 3.5435 0.0000
Ca Si Te
1 2 1
direct
0.0000 0.0000 0.0000 Ca
0.2500 0.2500 0.2500 Si
0.7500 0.7500 0.7500 Si
0.5000 0.5000 0.5000 Te
```

---

ii:
CaSi2Te | SCAN | PBEsol geometry

## Properties
Magnetization = 0.00 Bohr magnetons per cell
Symmetry = Pmm2, No. 25

Cell and atoms, written as POSCAR:
```
CaSi2Te
1.0
3.7142 0.0000 0.0000
0.0000 3.9136 0.0000
0.0000 0.0000 6.0705
Ca Si Te
1 2 1
direct
0.0000 0.0000 0.0000 Ca
0.0000 0.0000 0.4672 Si
0.5000 0.5000 0.3147 Si
0.5000 0.5000 0.7519 Te
```

---

iii:
CaSi2Te | SCAN | PBEsol geometry

## Properties
Magnetization = 0.00 Bohr magnetons per cell
Symmetry = F-43m, No. 216

Cell and atoms, written as POSCAR:
```
CaSi2Te
1.0
0.0000 3.5484 3.5484
3.5484 0.0000 3.5484
3.5484 3.5484 0.0000
Ca Si Te
1 2 1
direct
0.0000 0.0000 0.0000 Ca
0.5000 0.5000 0.5000 Si
0.7500 0.7500 0.7500 Si
0.2500 0.2500 0.2500 Te
```

---

Question: which arrangement is favored energetically? Ranking from most to least stable: ii, iii, i.

---

i:
CaTlSi | SCAN | PBEsol geometry

## Properties
Magnetization = 0.00 Bohr magnetons per cell
Symmetry = I4mm, No. 107

Cell and atoms, written as POSCAR:
```
CaTlSi
1.0
-1.8357 1.8357 5.3079
1.8357 -1.8357 5.3079
1.8357 1.8357 -5.3079
Ca Tl Si
1 1 1
direct
0.0000 0.0000 0.0000 Ca
0.3040 0.3040 0.0000 Tl
0.6791 0.6791 0.0000 Si
```

---

ii:
CaTlSi | SCAN | PBEsol geometry

## Properties
Magnetization = 0.00 Bohr magnetons per cell
Symmetry = F-43m, No. 216

Cell and atoms, written as POSCAR:
```
CaTlSi
1.0
0.0000 3.4066 3.4066
3.4066 0.0000 3.4066
3.4066 3.4066 0.0000
Ca Tl Si
1 1 1
direct
0.0000 0.0000 0.0000 Ca
0.2500 0.2500 0.2500 Tl
0.5000 0.5000 0.5000 Si
```

---

Question: which arrangement is favored energetically? Ranking from most to least stable: i, ii.

---

i:
Sr2CaTa | SCAN | PBEsol geometry

## Properties
Magnetization = 2.70 Bohr magnetons per cell
Symmetry = Pm, No. 6

Cell and atoms, written as POSCAR:
```
Sr2CaTa
1.0
3.4682 0.0000 0.0000
0.0000 5.5874 0.0000
-1.7154 0.0000 6.9125
Sr Ca Ta
2 1 1
direct
0.0000 0.0000 0.0000 Sr
0.3354 0.5000 0.6768 Sr
0.7135 0.0000 0.4399 Ca
0.6095 0.5000 0.2166 Ta
```

---

ii:
Sr2CaTa | SCAN | PBEsol geometry

## Properties
Magnetization = 0.00 Bohr magnetons per cell
Symmetry = R-3m, No. 166

Cell and atoms, written as POSCAR:
```
Sr2CaTa
1.0
1.7575 1.0147 12.2434
-1.7575 1.0147 12.2434
0.0000 -2.0294 12.2434
Sr Ca Ta
2 1 1
direct
0.2378 0.2378 0.2378 Sr
0.7622 0.7622 0.7622 Sr
0.0000 0.0000 0.0000 Ca
0.5000 0.5000 0.5000 Ta
```

---

iii:
Sr2CaTa | SCAN | PBEsol geometry

## Properties
Magnetization = 2.29 Bohr magnetons per cell
Symmetry = C2/m, No. 12

Cell and atoms, written as POSCAR:
```
Sr2CaTa
1.0
3.5120 -5.6855 0.0000
3.5120 5.6855 0.0000
-0.9320 0.0000 3.2722
Sr Ca Ta
2 1 1
direct
0.0000 0.5000 0.0000 Sr
0.5000 0.0000 0.0000 Sr
0.0000 0.0000 0.5000 Ca
0.5000 0.5000 0.5000 Ta
```

---

Question: which arrangement is favored energetically? Ranking from most to least stable: ii, i, iii.

---

i:
SrCa2Tl | SCAN | PBEsol geometry

## Properties
Magnetization = 0.00 Bohr magnetons per cell
Symmetry = I4/mmm, No. 139

Cell and atoms, written as POSCAR:
```
SrCa2Tl
1.0
-2.8503 2.8503 4.0639
2.8503 -2.8503 4.0639
2.8503 2.8503 -4.0639
Sr Ca Tl
1 2 1
direct
0.0000 0.0000 0.0000 Sr
0.2500 0.7500 0.5000 Ca
0.7500 0.2500 0.5000 Ca
0.5000 0.5000 0.0000 Tl
```

---

ii:
SrCa2Tl | SCAN | PBEsol geometry

## Properties
Magnetization = 0.00 Bohr magnetons per cell
Symmetry = P4/mmm, No. 123

Cell and atoms, written as POSCAR:
```
SrCa2Tl
1.0
3.8717 0.0000 0.0000
0.0000 3.8717 0.0000
0.0000 0.0000 9.8088
Sr Ca Tl
1 2 1
direct
0.0000 0.0000 0.0000 Sr
0.5000 0.5000 0.3128 Ca
0.5000 0.5000 0.6872 Ca
0.0000 0.0000 0.5000 Tl
```

---

Question: which arrangement is favored energetically? Ranking from most to least stable: ii, i.

---

i:
SrCa2Tl | SCAN | PBEsol geometry

## Properties
Magnetization = 0.00 Bohr magnetons per cell
Symmetry = Pmmm, No. 47

Cell and atoms, written as POSCAR:
```
SrCa2Tl
1.0
4.6177 0.0000 0.0000
0.0000 5.3746 0.0000
0.0000 0.0000 5.4451
Sr Ca Tl
1 2 1
direct
0.0000 0.0000 0.0000 Sr
0.0000 0.5000 0.5000 Ca
0.5000 0.0000 0.5000 Ca
0.5000 0.5000 0.0000 Tl
```

---

ii:
SrCa2Tl | SCAN | PBEsol geometry

## Properties
Magnetization = 0.72 Bohr magnetons per cell
Symmetry = Immm, No. 71

Cell and atoms, written as POSCAR:
```
SrCa2Tl
1.0
-1.9887 2.9723 6.1116
1.9887 -2.9723 6.1116
1.9887 2.9723 -6.1116
Sr Ca Tl
1 2 1
direct
0.0000 0.0000 0.0000 Sr
0.2941 0.7941 0.5000 Ca
0.7059 0.2059 0.5000 Ca
0.5000 0.5000 0.0000 Tl
```

---

Question: which arrangement is favored energetically? Ranking from most to least stable: ii, i.

---

i:
SrCaZr2 | SCAN | PBEsol geometry

## Properties
Magnetization = 0.00 Bohr magnetons per cell
Symmetry = Pmm2, No. 25

Cell and atoms, written as POSCAR:
```
SrCaZr2
1.0
3.5060 0.0000 0.0000
0.0000 4.0878 0.0000
0.0000 0.0000 8.7251
Sr Ca Zr
1 1 2
direct
0.0000 0.0000 0.0000 Sr
0.5000 0.5000 0.3454 Ca
0.0000 0.0000 0.5911 Zr
0.5000 0.5000 0.7309 Zr
```

---

ii:
SrCaZr2 | SCAN | PBEsol geometry

## Properties
Magnetization = 0.00 Bohr magnetons per cell
Symmetry = I-4m2, No. 119

Cell and atoms, written as POSCAR:
```
SrCaZr2
1.0
-2.5050 2.5050 4.5017
2.5050 -2.5050 4.5017
2.5050 2.5050 -4.5017
Sr Ca Zr
1 1 2
direct
0.0000 0.0000 0.0000 Sr
0.2500 0.7500 0.5000 Ca
0.5000 0.5000 0.0000 Zr
0.7500 0.2500 0.5000 Zr
```

---

iii:
SrCaZr2 | SCAN | PBEsol geometry

## Properties
Magnetization = 0.00 Bohr magnetons per cell
Symmetry = Imm2, No. 44

Cell and atoms, written as POSCAR:
```
SrCaZr2
1.0
-1.6559 3.0777 5.8874
1.6559 -3.0777 5.8874
1.6559 3.0777 -5.8874
Sr Ca Zr
1 1 2
direct
0.0000 0.0000 0.0000 Sr
0.7161 0.2161 0.5000 Ca
0.2636 0.7636 0.5000 Zr
0.4603 0.4603 0.0000 Zr
```

---

Question: which arrangement is favored energetically? Ranking from most to least stable: i, iii, ii.

---

i:
Sr2CaZr | SCAN | PBEsol geometry

## Properties
Magnetization = 2.82 Bohr magnetons per cell
Symmetry = I-4m2, No. 119

Cell and atoms, written as POSCAR:
```
Sr2CaZr
1.0
-2.6755 2.6755 5.2008
2.6755 -2.6755 5.2008
2.6755 2.6755 -5.2008
Sr Ca Zr
2 1 1
direct
0.0000 0.0000 0.0000 Sr
0.7500 0.2500 0.5000 Sr
0.2500 0.7500 0.5000 Ca
0.5000 0.5000 0.0000 Zr
```

---

ii:
Sr2CaZr | SCAN | PBEsol geometry

## Properties
Magnetization = 0.04 Bohr magnetons per cell
Symmetry = P4mm, No. 99

Cell and atoms, written as POSCAR:
```
Sr2CaZr
1.0
3.6842 0.0000 0.0000
0.0000 3.6842 0.0000
0.0000 0.0000 10.8917
Sr Ca Zr
2 1 1
direct
0.0000 0.0000 0.0000 Sr
0.5000 0.5000 0.3011 Sr
0.5000 0.5000 0.7194 Ca
0.0000 0.0000 0.5202 Zr
```

---

Question: which arrangement is favored energetically? Ranking from most to least stable: ii, i.